This record from the Alexandria database describes an optimized crystal structure of Li3In4Sn2. The functional is PBE.

Output
For the formation enthalpy at 0 K, the calculation gives -0.13 eV/atom.

abc: 8.431 8.431 6.141
angles: 91.68 91.68 81.20
Fractional positions:
Li 0.011 0.989 0.750
Li 0.325 0.433 0.371
Li 0.433 0.325 0.871
Li 0.567 0.675 0.129
Li 0.675 0.567 0.629
Li 0.989 0.011 0.250
In 0.024 0.666 0.470
In 0.242 0.641 0.975
In 0.334 0.976 0.030
In 0.359 0.758 0.525
In 0.641 0.242 0.475
In 0.666 0.024 0.970
In 0.758 0.359 0.025
In 0.976 0.334 0.530
Sn 0.117 0.294 0.027
Sn 0.294 0.117 0.527
Sn 0.706 0.883 0.473
Sn 0.883 0.706 0.973

---

This record from the Alexandria database describes an optimized crystal structure of KBe2Os. The functional is PBE.

Output
For the formation enthalpy at 0 K, the calculation gives 1.32 eV/atom.

abc: 4.409 4.409 4.409
angles: 60.00 60.00 60.00
Fractional positions:
K 0.000 0.000 0.000
Be 0.250 0.250 0.250
Be 0.750 0.750 0.750
Os 0.500 0.500 0.500

---

This record from the Alexandria database describes an optimized crystal structure of LaSbSe. The functional is PBE.

Output
Its uncorrected formation energy is -32.4 kcal/mol of atoms.

abc: 7.675 4.197 10.868
angles: 90.00 90.00 90.00
Fractional positions:
La 0.204 0.250 0.161
La 0.296 0.750 0.661
La 0.704 0.250 0.339
La 0.796 0.750 0.839
Sb 0.114 0.250 0.456
Sb 0.386 0.750 0.956
Sb 0.614 0.250 0.044
Sb 0.886 0.750 0.544
Se 0.087 0.250 0.830
Se 0.413 0.750 0.330
Se 0.587 0.250 0.670
Se 0.913 0.750 0.170

---

This record from the Alexandria database describes an optimized crystal structure of LuPuIr2. The functional is PBE.

Output
For the formation enthalpy at 0 K, the calculation gives -0.65 eV/atom.

abc: 4.939 4.939 3.205
angles: 90.00 90.00 90.00
Fractional positions:
Lu 0.000 0.000 0.000
Pu 0.500 0.500 0.000
Ir 0.000 0.500 0.500
Ir 0.500 0.000 0.500

---

This record from the Alexandria database describes an optimized crystal structure of LiReRh2. The functional is PBE.

Output
For the formation enthalpy at 0 K, the calculation gives -0.05 eV/atom.

abc: 8.807 8.807 8.807
angles: 18.09 18.09 18.09
Fractional positions:
Li 0.000 0.000 0.000
Re 0.500 0.500 0.500
Rh 0.248 0.248 0.248
Rh 0.752 0.752 0.752

---

This record from the Alexandria database describes an optimized crystal structure of CsTeN2O. The functional is PBE.

Output
Its uncorrected formation energy is 61.8 kcal/mol of atoms.

abc: 4.155 4.155 7.985
angles: 90.00 90.00 90.00
Fractional positions:
Cs 0.000 0.000 0.000
Te 0.000 0.000 0.500
N 0.000 0.500 0.000
N 0.500 0.000 0.000
O 0.500 0.500 0.500

---

This record from the Alexandria database describes an optimized crystal structure of CaLa3O. The functional is PBE.

Output
Its uncorrected formation energy is 24.6 kcal/mol of atoms.

abc: 5.697 5.697 5.697
angles: 90.00 90.00 90.00
Fractional positions:
Ca 0.000 0.000 0.000
La 0.000 0.000 0.500
La 0.000 0.500 0.000
La 0.500 0.000 0.000
O 0.500 0.500 0.500

---

This record from the Alexandria database describes an optimized crystal structure of K2AcCeO4. The functional is PBE.

Output
Its uncorrected formation energy is -59.1 kcal/mol of atoms.

abc: 6.526 3.760 6.695
angles: 90.00 109.08 90.00
Fractional positions:
K 0.000 0.000 0.000
K 0.500 0.500 0.000
Ac 0.000 0.500 0.500
Ce 0.500 0.000 0.500
O 0.244 0.000 0.693
O 0.280 0.500 0.310
O 0.720 0.500 0.690
O 0.756 0.000 0.307

---

This record from the Alexandria database describes an optimized crystal structure of Li7MgAl2. The functional is PBE.

Output
For the formation enthalpy at 0 K, the calculation gives 0.02 eV/atom.

abc: 12.476 12.476 2.937
angles: 90.00 90.00 156.59
Fractional positions:
Li 0.000 0.000 0.000
Li 0.145 0.351 0.000
Li 0.305 0.695 0.500
Li 0.351 0.145 0.000
Li 0.649 0.855 0.000
Li 0.695 0.305 0.500
Li 0.855 0.649 0.000
Mg 0.500 0.500 0.500
Al 0.211 0.789 0.000
Al 0.789 0.211 0.000

---

This record from the Alexandria database describes an optimized crystal structure of KPtSe3. The functional is PBE.

Output
Its uncorrected formation energy is -3.4 kcal/mol of atoms.

abc: 5.114 5.114 5.114
angles: 90.00 90.00 90.00
Fractional positions:
K 0.000 0.000 0.000
Pt 0.500 0.500 0.500
Se 0.000 0.500 0.500
Se 0.500 0.000 0.500
Se 0.500 0.500 0.000

---

This record from the Alexandria database describes an optimized crystal structure of NbCdCu2. The functional is PBE.

Output
For the formation enthalpy at 0 K, the calculation gives 0.64 eV/atom.

abc: 5.718 5.718 5.718
angles: 104.31 104.31 120.37
Fractional positions:
Nb 0.000 0.000 0.000
Nb 0.750 0.250 0.500
Cd 0.250 0.750 0.500
Cd 0.500 0.500 0.000
Cu 0.120 0.125 0.495
Cu 0.375 0.880 0.005
Cu 0.630 0.625 0.505
Cu 0.875 0.370 0.995

---

This record from the Alexandria database describes an optimized crystal structure of Ac2MnS4. The functional is PBE.

Output
Its uncorrected formation energy is -39.0 kcal/mol of atoms.

abc: 6.797 6.618 8.353
angles: 90.00 108.18 90.00
Fractional positions:
Ac 0.225 0.250 0.055
Ac 0.259 0.250 0.566
Ac 0.741 0.750 0.434
Ac 0.775 0.750 0.945
Mn 0.238 0.750 0.806
Mn 0.762 0.250 0.194
S 0.008 0.508 0.259
S 0.008 0.992 0.259
S 0.424 0.750 0.094
S 0.432 0.750 0.619
S 0.568 0.250 0.381
S 0.576 0.250 0.906
S 0.992 0.008 0.741
S 0.992 0.492 0.741

---

This record from the Alexandria database describes an optimized crystal structure of VSnRu. The functional is PBE.

Output
For the formation enthalpy at 0 K, the calculation gives -0.05 eV/atom.

abc: 5.720 5.720 5.720
angles: 149.47 149.47 43.73
Fractional positions:
V 0.000 0.000 0.000
Sn 0.685 0.685 0.000
Ru 0.364 0.364 0.000

---

This record from the Alexandria database describes an optimized crystal structure of Na5Ti3F14. The functional is PBE.

Output
Its uncorrected formation energy is -71.2 kcal/mol of atoms.

abc: 7.605 7.605 10.424
angles: 90.00 90.00 90.00
Fractional positions:
Na 0.000 0.000 0.000
Na 0.226 0.274 0.250
Na 0.226 0.274 0.750
Na 0.274 0.774 0.250
Na 0.274 0.774 0.750
Na 0.500 0.500 0.500
Na 0.726 0.226 0.250
Na 0.726 0.226 0.750
Na 0.774 0.726 0.250
Na 0.774 0.726 0.750
Ti 0.000 0.000 0.500
Ti 0.000 0.500 0.000
Ti 0.000 0.500 0.500
Ti 0.500 0.000 0.000
Ti 0.500 0.000 0.500
Ti 0.500 0.500 0.000
F 0.000 0.000 0.313
F 0.000 0.000 0.687
F 0.035 0.689 0.128
F 0.035 0.689 0.872
F 0.075 0.249 0.500
F 0.189 0.535 0.372
F 0.189 0.535 0.628
F 0.249 0.925 0.500
F 0.251 0.425 0.000
F 0.311 0.035 0.128
F 0.311 0.035 0.872
F 0.425 0.749 0.000
F 0.465 0.189 0.372
F 0.465 0.189 0.628
F 0.500 0.500 0.187
F 0.500 0.500 0.813
F 0.535 0.811 0.372
F 0.535 0.811 0.628
F 0.575 0.251 0.000
F 0.689 0.965 0.128
F 0.689 0.965 0.872
F 0.749 0.575 0.000
F 0.751 0.075 0.500
F 0.811 0.465 0.372
F 0.811 0.465 0.628
F 0.925 0.751 0.500
F 0.965 0.311 0.128
F 0.965 0.311 0.872

---

This record from the Alexandria database describes an optimized crystal structure of AcNpTe4. The functional is PBE.

Output
Its uncorrected formation energy is -20.7 kcal/mol of atoms.

abc: 8.370 8.370 7.668
angles: 112.41 112.41 101.10
Fractional positions:
Ac 0.131 0.869 0.750
Ac 0.869 0.131 0.250
Np 0.498 0.502 0.750
Np 0.502 0.498 0.250
Te 0.152 0.291 0.779
Te 0.175 0.529 0.362
Te 0.291 0.152 0.279
Te 0.471 0.825 0.138
Te 0.529 0.175 0.862
Te 0.709 0.848 0.721
Te 0.825 0.471 0.638
Te 0.848 0.709 0.221

---

This record from the Alexandria database describes an optimized crystal structure of PmScSi2Os. The functional is PBE.

Output
Its uncorrected formation energy is -16.5 kcal/mol of atoms.

abc: 6.333 6.333 6.333
angles: 142.56 142.56 53.99
Fractional positions:
Pm 0.000 0.000 0.000
Sc 0.250 0.750 0.500
Si 0.393 0.393 0.000
Si 0.607 0.607 0.000
Os 0.750 0.250 0.500

---

This record from the Alexandria database describes an optimized crystal structure of Cs2BaAu. The functional is PBE.

Output
For the formation enthalpy at 0 K, the calculation gives -0.32 eV/atom.

abc: 4.818 4.820 24.003
angles: 90.00 90.09 90.00
Fractional positions:
Cs 0.245 0.000 0.277
Cs 0.252 0.000 0.909
Cs 0.748 0.500 0.091
Cs 0.755 0.500 0.723
Ba 0.251 0.001 0.563
Ba 0.749 0.501 0.437
Au 0.249 0.001 0.427
Au 0.751 0.501 0.573

---

This record from the Alexandria database describes an optimized crystal structure of Pr4ZnSiI2. The functional is PBE.

Output
Its uncorrected formation energy is -17.3 kcal/mol of atoms.

abc: 7.669 4.306 8.059
angles: 90.00 107.37 90.00
Fractional positions:
Pr 0.228 0.000 0.206
Pr 0.260 0.500 0.789
Pr 0.740 0.500 0.211
Pr 0.772 0.000 0.794
Zn 0.500 0.000 0.000
Si 0.000 0.500 0.000
I 0.000 0.000 0.500
I 0.500 0.500 0.500

---

This record from the Alexandria database describes an optimized crystal structure of Sc2MnHg. The functional is PBE.

Output
For the formation enthalpy at 0 K, the calculation gives -0.07 eV/atom.

abc: 5.452 5.452 5.027
angles: 105.85 105.85 34.67
Fractional positions:
Sc 0.000 0.000 0.000
Sc 0.218 0.218 0.654
Mn 0.474 0.474 0.505
Hg 0.752 0.752 0.182

---

This record from the Alexandria database describes an optimized crystal structure of CsZnHg3. The functional is PBE.

Output
For the formation enthalpy at 0 K, the calculation gives -0.14 eV/atom.

abc: 5.529 5.529 5.529
angles: 90.00 90.00 90.00
Fractional positions:
Cs 0.000 0.000 0.000
Zn 0.500 0.500 0.500
Hg 0.000 0.500 0.500
Hg 0.500 0.000 0.500
Hg 0.500 0.500 0.000